No. 1
! Na2Cd2Co PBE-GGA optimized geometry; values from VASP
&SYSTEM
  ibrav = 0, nat = 10, ntyp = 3
/
ATOMIC_SPECIES
Na 22.99 Na.upf
Co 58.93 Co.upf
Cd 112.41 Cd.upf
ATOMIC_POSITIONS angstrom
Na -2.7183 1.6447 4.4106
Na -6.0754 2.8933 3.9305
Na -5.1423 4.1496 0.6731
Na -1.7852 2.9010 1.1533
Co 0.0000 0.0000 0.0000
Co -4.6015 0.6915 1.4990
Cd -4.9920 -0.3201 3.8897
Cd -7.1024 1.4866 1.4269
Cd -4.2110 1.7031 -0.8918
Cd -2.1007 -0.1036 1.5710
CELL_PARAMETERS angstrom
-5.6231 2.9856 -2.6954
-3.5799 -1.6026 5.6933
1.3424 4.4113 2.0858
! N(E_F)   1.0717 states/eV per atom
! DFT formation energy   0.3155 eV per atom
! V   242 Å³/cell



No. 2
! Na2CdCo PBE-GGA optimized geometry; values from VASP
&SYSTEM
  ibrav = 0, nat = 8, ntyp = 3
/
ATOMIC_SPECIES
Na 22.99 Na.upf
Co 58.93 Co.upf
Cd 112.41 Cd.upf
ATOMIC_POSITIONS angstrom
Na -5.6698 2.9089 0.1769
Na -6.0705 -2.6111 0.6826
Na -8.9986 0.1727 1.6668
Na -14.5371 0.5508 1.4049
Co -5.8425 0.0849 -0.2466
Co -8.8728 -2.6556 1.2559
Cd 0.0000 0.0000 0.0000
Cd -8.7652 3.1662 0.7097
CELL_PARAMETERS angstrom
-5.7348 5.9067 -0.7929
-5.9502 -5.7368 0.2996
-5.9530 0.3408 2.4589
! N(E_F)   1.2821 states/eV per atom
! DFT formation energy   0.6075 eV per atom
! V   186 Å³/cell



No. 3
! NaCd2Co PBE-GGA optimized geometry; values from VASP
&SYSTEM
  ibrav = 0, nat = 8, ntyp = 3
/
ATOMIC_SPECIES
Na 22.99 Na.upf
Co 58.93 Co.upf
Cd 112.41 Cd.upf
ATOMIC_POSITIONS angstrom
Na 2.1631 2.1631 0.0000
Na 2.1631 4.3262 4.7615
Co 0.0000 0.0000 0.0000
Co 4.3262 2.1631 4.7615
Cd 3.3916 1.0815 2.3808
Cd 0.9345 3.2446 2.3808
Cd 3.2446 3.0976 7.1423
Cd 5.4077 5.5547 7.1423
CELL_PARAMETERS angstrom
4.3262 0.0000 0.0000
0.0000 4.3262 0.0000
2.1631 2.1631 9.5231
! N(E_F)   1.1172 states/eV per atom
! DFT formation energy   0.5612 eV per atom
! V   178 Å³/cell